Record 1
Crystalline NbAu at its relaxed geometry, computed with PBE.

The structure in POSCAR format:
```
NbAu
1.0
0.000 4.213 8.071
2.276 0.000 8.071
2.276 4.213 0.000
Nb Au
4 4
direct
0.046 0.046 0.204
0.204 0.204 0.046
0.796 0.796 0.954
0.954 0.954 0.796
0.212 0.538 0.212
0.462 0.788 0.462
0.538 0.212 0.538
0.788 0.462 0.788
```

Output
As for the formation enthalpy at 0 K: 0.668 eV/f.u. The calculation puts the size of the total moment at 0.00 μB/cell. As for the total energy: -50.714 eV/cell. As for the volume: 154.8 Å³/cell. As for the crystal system: orthorhombic. Its density of states at the Fermi level is 1.190 states/eV/atom.

***

Record 2
Crystalline Nb3Au2 at its relaxed geometry, computed with PBE.

The structure in POSCAR format:
```
Nb3Au2
1.0
-1.709 1.709 7.724
1.709 -1.709 7.724
1.709 1.709 -7.724
Nb Au
3 2
direct
0.000 0.000 0.000
0.401 0.401 0.000
0.599 0.599 0.000
0.199 0.199 0.000
0.801 0.801 0.000
```

Output
As for the formation enthalpy at 0 K: -0.818 eV/f.u. The calculation puts the size of the total moment at 0.00 μB/cell. As for the total energy: -37.582 eV/cell. As for the polymorph energy (0 for the lowest one): 0.0 meV per atom. As for the volume: 90.2 Å³/cell. As for the crystal system: tetragonal. Its density of states at the Fermi level is 0.766 states/eV/atom.

***

Record 3
Crystalline NbAu at its relaxed geometry, computed with PBE.

The structure in POSCAR format:
```
NbAu
1.0
-4.655 4.655 1.803
4.655 -4.655 1.803
4.655 4.655 -1.803
Nb Au
4 4
direct
0.000 0.339 0.339
0.000 0.661 0.661
0.339 0.000 0.339
0.661 0.000 0.661
0.342 0.342 0.685
0.342 0.658 0.000
0.658 0.342 0.000
0.658 0.658 0.315
```

Output
As for the formation enthalpy at 0 K: 0.116 eV/f.u. The calculation puts the size of the total moment at 0.00 μB/cell. As for the total energy: -52.924 eV/cell. As for the volume: 156.3 Å³/cell. As for the crystal system: tetragonal. Its density of states at the Fermi level is 0.776 states/eV/atom.

***

Record 4
Crystalline Nb5Au at its relaxed geometry, computed with PBE.

The structure in POSCAR format:
```
Nb5Au
1.0
2.339 -6.814 0.000
2.339 6.814 0.000
0.000 0.000 3.400
Nb Au
5 1
direct
0.000 0.000 0.000
0.163 0.837 0.500
0.328 0.672 0.000
0.672 0.328 0.000
0.837 0.163 0.500
0.500 0.500 0.500
```

Output
As for the formation enthalpy at 0 K: -0.394 eV/f.u. The calculation puts the size of the total moment at 0.00 μB/cell. As for the total energy: -54.020 eV/cell. As for the polymorph energy (0 for the lowest one): 0.0 meV per atom. As for the volume: 108.4 Å³/cell. As for the crystal system: orthorhombic. Its density of states at the Fermi level is 1.034 states/eV/atom.

***

Record 5
Crystalline Nb2Au at its relaxed geometry, computed with PBE.

The structure in POSCAR format:
```
Nb2Au
1.0
0.000 2.166 6.853
1.815 0.000 6.853
1.815 2.166 0.000
Nb Au
2 1
direct
0.167 0.167 0.833
0.833 0.833 0.167
0.500 0.500 0.500
```

Output
As for the formation enthalpy at 0 K: -0.403 eV/f.u. The calculation puts the size of the total moment at 0.00 μB/cell. As for the total energy: -23.820 eV/cell. As for the volume: 53.9 Å³/cell. As for the crystal system: orthorhombic. Its density of states at the Fermi level is 0.600 states/eV/atom.

***

Record 6
Crystalline NbAu at its relaxed geometry, computed with PBE.

The structure in POSCAR format:
```
NbAu
1.0
9.740 0.000 0.000
-4.870 8.435 0.000
0.000 0.000 2.837
Nb Au
6 6
direct
0.147 0.523 0.250
0.377 0.853 0.250
0.477 0.623 0.250
0.523 0.377 0.750
0.623 0.147 0.750
0.853 0.477 0.750
0.050 0.766 0.250
0.234 0.284 0.250
0.284 0.050 0.750
0.716 0.950 0.250
0.766 0.716 0.750
0.950 0.234 0.750
```

Output
As for the formation enthalpy at 0 K: 0.425 eV/f.u. The calculation puts the size of the total moment at 0.00 μB/cell. As for the total energy: -77.534 eV/cell. As for the volume: 233.1 Å³/cell. As for the crystal system: hexagonal. Its density of states at the Fermi level is 1.078 states/eV/atom.